Entry 1:
Computed, not measured: a geometry-optimized PuPa2Ga structure at the PBE level of DFT.

a = 5.0245 Å, b = 5.0245 Å, c = 5.0245 Å
α = 60.00°, β = 60.00°, γ = 60.00°
Fractional positions:
Pu  0.0000  0.0000  0.0000
Pa  0.2500  0.2500  0.2500
Pa  0.7500  0.7500  0.7500
Ga  0.5000  0.5000  0.5000

## Properties
E_form, eV per atom: -0.09
ΔE to the lowest computed polymorph, meV/atom: 65
Calculated volume, Å³/cell: 89.7

---

Entry 2:
Computed, not measured: a geometry-optimized Pu2PaGa3 structure at the PBE level of DFT.

a = 3.1357 Å, b = 3.1357 Å, c = 13.1961 Å
α = 90.00°, β = 90.00°, γ = 90.00°
Fractional positions:
Pu  0.0000  0.0000  0.1679
Pu  0.0000  0.0000  0.8321
Pa  0.0000  0.0000  0.5000
Ga  0.5000  0.5000  0.0000
Ga  0.5000  0.5000  0.3348
Ga  0.5000  0.5000  0.6652

## Properties
E_form, eV per atom: -0.29
ΔE to the lowest computed polymorph, meV/atom: 0
Calculated volume, Å³/cell: 129.8

---

Entry 3:
Computed, not measured: a geometry-optimized Pu3Pa3Ga5 structure at the PBE level of DFT.

a = 5.4910 Å, b = 6.0302 Å, c = 7.4562 Å
α = 102.68°, β = 99.16°, γ = 91.29°
Fractional positions:
Pu  0.0000  0.0000  0.0000
Pu  0.1659  0.7050  0.6481
Pu  0.5303  0.9930  0.4755
Pa  0.5515  0.1867  0.9438
Pa  0.6500  0.5530  0.6885
Pa  0.9218  0.7826  0.3127
Ga  0.0660  0.4739  0.9705
Ga  0.0849  0.1912  0.6551
Ga  0.3709  0.4434  0.2934
Ga  0.4586  0.7459  0.0533
Ga  0.8842  0.3003  0.3454

## Properties
E_form, eV per atom: -0.18
Calculated volume, Å³/cell: 237.4

---

Quick rundown of DFT total energy, same order as above: -36.71, -48.98, -88.62 eV for the cell shown